Y2ZnP3Rh12: optimized geometry, PBE.

a = 6.6666 Å, b = 6.6666 Å, c = 6.6666 Å
α = 82.93°, β = 82.93°, γ = 82.93°
Closest atoms and distances in Å follow each position.
Fractional coordinates of all 18 atoms:
1 Y 0.1268 0.1268 0.1268  3 Rh 2.59
2 Y 0.8732 0.8732 0.8732  3 Rh 2.59
3 Zn 0.5000 0.5000 0.5000  6 Rh 2.55
4 P 0.0000 0.5000 0.5000  2 Rh 2.22
5 P 0.5000 0.0000 0.5000  2 Rh 2.22
6 P 0.5000 0.5000 0.0000  2 Rh 2.22
7 Rh 0.1312 0.1312 0.5933  2 P 2.53, 1 Rh 2.70
8 Rh 0.1312 0.5933 0.1312  2 P 2.53, 1 Rh 2.70
9 Rh 0.1725 0.6726 0.6726  1 P 2.22
10 Rh 0.3274 0.3274 0.8275  1 P 2.22
11 Rh 0.3274 0.8275 0.3274  1 P 2.22
12 Rh 0.4067 0.8688 0.8688  2 P 2.53, 1 Rh 2.70
13 Rh 0.5933 0.1312 0.1312  2 P 2.53, 1 Rh 2.70
14 Rh 0.6726 0.1725 0.6726  1 P 2.22
15 Rh 0.6726 0.6726 0.1725  1 P 2.22
16 Rh 0.8275 0.3274 0.3274  1 P 2.22
17 Rh 0.8688 0.4067 0.8688  2 P 2.53, 1 Rh 2.70
18 Rh 0.8688 0.8688 0.4067  2 P 2.53, 1 Rh 2.70

Output
Density of states at the Fermi level ... 15.32 states/eV/cell
DFT total energy ... -6.8898 eV per atom
Mass density ... 8.994 g/cm³
Total moment ... 0.00 μB/cell
Calculated volume ... 290.0 Å³/f.u.
DFT formation energy ... -298 meV per atom